[1]
{"formula": "BaCaPrIn", "functional": "GGA-PBE", "state": "optimized geometry", "magmom_total_mub_per_atom": 0.000, "dft_energy_ev_per_atom": -2.9812, "crystal_system": "cubic", "rho_kg_m3": 4898, "formation_energy_ev_per_atom": -0.1206, "cell": [[5.922, 0.000, 0.000], [2.961, 5.128, 0.000], [2.961, 1.709, 4.835]], "species": ["Pr", "Ca", "Ba", "In"], "fractional_positions": [[0.000, 0.000, 0.000], [0.750, 0.750, 0.750], [0.500, 0.500, 0.500], [0.250, 0.250, 0.250]]}

---

[2]
{"formula": "ZnInTe2", "functional": "GGA-PBE", "state": "optimized geometry", "magmom_total_mub_per_atom": 0.000, "dft_energy_ev_per_atom": -2.6976, "crystal_system": "trigonal", "rho_kg_m3": 5620, "cell": [[8.279, -0.020, -0.012], [7.152, 4.170, -0.012], [7.152, 1.924, 3.700]], "species": ["In", "Te", "Te", "Zn"], "fractional_positions": [[0.747, 0.747, 0.747], [0.017, 0.017, 0.017], [0.217, 0.217, 0.217], [0.519, 0.519, 0.519]]}

---

[3]
{"formula": "Tb7Th2Sc2", "functional": "GGA-PBE", "state": "optimized geometry", "magmom_total_mub_per_atom": 0.000, "dft_energy_ev_per_atom": -5.1364, "crystal_system": "monoclinic", "polymorph_energy_mev_per_atom": 173, "rho_kg_m3": 7925, "formation_energy_ev_per_atom": 0.3104, "cell": [[-4.347, 3.816, -6.034], [1.159, -7.197, -1.788], [-3.816, -5.914, 2.608]], "species": ["Tb", "Tb", "Tb", "Tb", "Tb", "Tb", "Tb", "Th", "Th", "Sc", "Sc"], "fractional_positions": [[0.784, 0.951, 0.447], [0.216, 0.553, 0.049], [0.216, 0.049, 0.553], [0.784, 0.447, 0.951], [0.500, 0.000, 0.000], [0.380, 0.584, 0.584], [0.620, 0.416, 0.416], [0.000, 0.245, 0.755], [0.000, 0.755, 0.245], [0.375, 0.165, 0.165], [0.625, 0.835, 0.835]]}

---

[4]
{"formula": "PaTiNbIn", "functional": "GGA-PBE", "state": "optimized geometry", "magmom_total_mub_per_atom": 0.000, "dft_energy_ev_per_atom": -7.5034, "crystal_system": "cubic", "rho_kg_m3": 9998, "formation_energy_ev_per_atom": 0.0464, "cell": [[-1.131, 4.704, 0.376], [-2.713, 2.124, -3.418], [-4.560, 1.327, 0.998]], "species": ["Nb", "Pa", "Ti", "In"], "fractional_positions": [[0.500, 0.500, 0.500], [0.250, 0.250, 0.250], [0.000, 0.000, 0.000], [0.750, 0.750, 0.750]]}

---

[5]
{"formula": "Y2CdSe2", "functional": "GGA-PBE", "state": "optimized geometry", "magmom_total_mub_per_atom": 0.000, "dft_energy_ev_per_atom": -5.1989, "crystal_system": "tetragonal", "polymorph_energy_mev_per_atom": 128, "rho_kg_m3": 4863, "cell": [[-2.234, 4.449, 0.840], [-0.920, -1.363, 4.774], [3.695, 3.873, 4.487]], "species": ["Y", "Y", "Se", "Se", "Cd"], "fractional_positions": [[0.750, 0.250, 0.500], [0.250, 0.750, 0.500], [0.353, 0.353, 0.293], [0.647, 0.647, 0.707], [0.000, 0.000, 0.000]]}

---

[6]
{"formula": "DySc2GaC", "functional": "GGA-PBE", "state": "optimized geometry", "magmom_total_mub_per_atom": 0.000, "dft_energy_ev_per_atom": -6.4827, "crystal_system": "tetragonal", "rho_kg_m3": 5634, "formation_energy_ev_per_atom": -0.5795, "cell": [[-1.283, 2.030, 4.186], [1.167, -3.776, 2.188], [4.196, 1.593, 0.513]], "species": ["Dy", "Sc", "Sc", "Ga", "C"], "fractional_positions": [[0.500, 0.000, 0.000], [0.000, 0.000, 0.500], [0.000, 0.500, 0.000], [0.500, 0.500, 0.500], [0.000, 0.000, 0.000]]}

---

[7]
{"formula": "Zn7Cu5", "functional": "GGA-PBE", "state": "optimized geometry", "magmom_total_mub_per_atom": 0.000, "dft_energy_ev_per_atom": -2.5052, "crystal_system": "monoclinic", "polymorph_energy_mev_per_atom": 0, "rho_kg_m3": 8050, "formation_energy_ev_per_atom": -0.0554, "cell": [[-2.510, 0.418, 0.904], [-0.060, -4.038, 5.734], [1.932, 5.484, 6.858]], "species": ["Zn", "Zn", "Zn", "Zn", "Zn", "Zn", "Zn", "Cu", "Cu", "Cu", "Cu", "Cu"], "fractional_positions": [[0.643, 0.971, 0.742], [0.357, 0.029, 0.258], [0.030, 0.691, 0.248], [0.970, 0.309, 0.752], [0.332, 0.329, 0.007], [0.500, 0.500, 0.500], [0.668, 0.671, 0.993], [0.834, 0.833, 0.500], [0.166, 0.167, 0.500], [0.693, 0.359, 0.254], [0.307, 0.641, 0.746], [0.000, 0.000, 0.000]]}

---

[8]
{"formula": "Sr9P2H14", "functional": "GGA-PBE", "state": "optimized geometry", "magmom_total_mub_per_atom": 0.081, "dft_energy_ev_per_atom": -3.3194, "crystal_system": "trigonal", "rho_kg_m3": 2853, "cell": [[-7.255, -1.014, 0.734], [4.708, -4.254, 3.733], [-0.152, 6.975, 8.140]], "species": ["Sr", "Sr", "Sr", "Sr", "Sr", "Sr", "Sr", "Sr", "Sr", "P", "P", "H", "H", "H", "H", "H", "H", "H", "H", "H", "H", "H", "H", "H", "H"], "fractional_positions": [[0.285, 0.955, 0.351], [0.045, 0.329, 0.351], [0.333, 0.667, 0.906], [0.000, 0.000, 0.000], [0.329, 0.285, 0.649], [0.671, 0.715, 0.351], [0.667, 0.333, 0.094], [0.955, 0.671, 0.649], [0.715, 0.045, 0.649], [0.333, 0.667, 0.173], [0.667, 0.333, 0.827], [0.131, 0.825, 0.851], [0.334, 0.945, 0.588], [0.055, 0.390, 0.588], [0.000, 0.000, 0.369], [0.000, 0.000, 0.631], [0.175, 0.306, 0.851], [0.694, 0.869, 0.851], [0.390, 0.334, 0.412], [0.610, 0.666, 0.588], [0.306, 0.131, 0.149], [0.825, 0.694, 0.149], [0.945, 0.610, 0.412], [0.666, 0.055, 0.412], [0.869, 0.175, 0.149]]}